No. 1
HgIrRuCl2 (PBEsol, optimized geometry); space group = P4/mmm (123); ρ = 7.5 g/cm³; energy relative to the elements, uncorrected = 2.03 eV/atom; DOS at the Fermi energy = 1.222 states/eV per atom
1.0
4.754 0.000 0.000
0.000 4.754 0.000
0.000 0.000 5.508
Hg Ir Ru Cl
1 1 1 2
Direct
0.000 0.000 0.000
0.500 0.500 0.500
0.000 0.000 0.500
0.000 0.500 0.000
0.500 0.000 0.000

=====

No. 2
Co5As2 (PBEsol, optimized geometry); energy of formation from the pure elements = -0.150 eV per atom; space group = P6_3cm (185); ρ = 9.4 g/cm³; DOS at the Fermi energy = 0.837 states/eV per atom
1.0
6.680 0.000 0.000
-3.340 5.785 0.000
0.000 0.000 12.168
Co As
30 12
Direct
0.000 0.000 0.000
0.000 0.000 0.500
0.000 0.273 0.329
0.000 0.306 0.125
0.000 0.370 0.523
0.000 0.374 0.735
0.000 0.626 0.235
0.000 0.630 0.023
0.000 0.694 0.625
0.000 0.727 0.829
0.273 0.000 0.329
0.273 0.273 0.829
0.306 0.000 0.125
0.306 0.306 0.625
0.333 0.667 0.361
0.333 0.667 0.861
0.370 0.000 0.523
0.370 0.370 0.023
0.374 0.000 0.735
0.374 0.374 0.235
0.626 0.000 0.235
0.626 0.626 0.735
0.630 0.000 0.023
0.630 0.630 0.523
0.667 0.333 0.361
0.667 0.333 0.861
0.694 0.000 0.625
0.694 0.694 0.125
0.727 0.000 0.829
0.727 0.727 0.329
0.000 0.000 0.204
0.000 0.000 0.704
0.000 0.328 0.931
0.000 0.672 0.431
0.328 0.000 0.931
0.328 0.328 0.431
0.333 0.667 0.155
0.333 0.667 0.655
0.667 0.333 0.155
0.667 0.333 0.655
0.672 0.000 0.431
0.672 0.672 0.931

=====

No. 3
Fe3TcH (PBEsol, optimized geometry); space group = Pm-3m (221); raw total energy = -8.297 eV per atom; ρ = 9.8 g/cm³; DOS at the Fermi energy = 0.841 states/eV per atom
1.0
3.558 0.000 0.000
0.000 3.558 0.000
0.000 0.000 3.558
Fe Tc H
3 1 1
Direct
0.000 0.000 0.500
0.000 0.500 0.000
0.500 0.000 0.000
0.500 0.500 0.500
0.000 0.000 0.000

=====

No. 4
LiMnIn2 (PBEsol, optimized geometry); energy of formation from the pure elements = -0.002 eV per atom; space group = Pmmm (47); ρ = 6.9 g/cm³; DOS at the Fermi energy = 0.598 states/eV per atom
1.0
3.042 0.000 0.000
0.000 3.732 0.000
0.000 0.000 6.177
Li Mn In
1 1 2
Direct
0.000 0.000 0.000
0.000 0.000 0.500
0.500 0.500 0.255
0.500 0.500 0.745

=====

No. 5
ReMo3 (PBEsol, optimized geometry); energy of formation from the pure elements = 0.312 eV per atom; space group = R-3m (166); ρ = 12.9 g/cm³; DOS at the Fermi energy = 0.898 states/eV per atom
1.0
1.383 0.799 9.224
-1.383 0.799 9.224
0.000 -1.597 9.224
Re Mo
1 3
Direct
0.000 0.000 0.000
0.252 0.252 0.252
0.500 0.500 0.500
0.748 0.748 0.748

=====

No. 6
KAsC2 (PBEsol, optimized geometry); energy of formation from the pure elements = 1.483 eV per atom; space group = I-42d (122); ρ = 3.3 g/cm³; DOS at the Fermi energy = 0.364 states/eV per atom
1.0
-2.937 2.937 4.054
2.937 -2.937 4.054
2.937 2.937 -4.054
K As C
2 2 4
Direct
0.000 0.000 0.000
0.750 0.250 0.500
0.250 0.750 0.500
0.500 0.500 0.000
0.268 0.625 0.143
0.375 0.518 0.643
0.482 0.125 0.857
0.875 0.732 0.357

=====

No. 7
ZrFe2Br (PBEsol, optimized geometry); space group = P2/m (10); ρ = 6.5 g/cm³; energy relative to the elements, uncorrected = 0.17 eV/atom; DOS at the Fermi energy = 0.717 states/eV per atom
1.0
3.441 0.000 0.000
0.000 3.382 0.000
-0.228 0.000 6.163
Zr Fe Br
1 2 1
Direct
0.000 0.000 0.000
0.489 0.500 0.815
0.511 0.500 0.185
0.500 0.000 0.500

=====

No. 8
SiAgAs2 (PBEsol, optimized geometry); space group = Pmmm (47); ρ = 6.7 g/cm³; energy relative to the elements, uncorrected = 0.41 eV/atom; DOS at the Fermi energy = 0.394 states/eV per atom
1.0
3.557 0.000 0.000
0.000 4.098 0.000
0.000 0.000 4.873
Si Ag As
1 1 2
Direct
0.000 0.000 0.000
0.500 0.000 0.500
0.000 0.500 0.500
0.500 0.500 0.000

=====

No. 9
K2HgBi2 (PBEsol, optimized geometry); energy of formation from the pure elements = -0.303 eV per atom; space group = P4/mbm (127); ρ = 6.5 g/cm³; DOS at the Fermi energy = 0.231 states/eV per atom
1.0
7.865 0.000 0.000
0.000 7.865 0.000
0.000 0.000 5.728
K Hg Bi
4 2 4
Direct
0.165 0.335 0.000
0.335 0.835 0.000
0.665 0.165 0.000
0.835 0.665 0.000
0.000 0.000 0.500
0.500 0.500 0.500
0.142 0.642 0.500
0.358 0.142 0.500
0.642 0.858 0.500
0.858 0.358 0.500

=====

No. 10
LiTl2In (PBEsol, optimized geometry); energy of formation from the pure elements = -0.113 eV per atom; space group = P4mm (99); ρ = 9.3 g/cm³; DOS at the Fermi energy = 0.395 states/eV per atom
1.0
3.287 0.000 0.000
0.000 3.287 0.000
0.000 0.000 8.773
Li Tl In
1 2 1
Direct
0.000 0.000 0.000
0.000 0.000 0.489
0.500 0.500 0.782
0.500 0.500 0.209

=====

No. 11
Cr2InNi (PBEsol, optimized geometry); energy of formation from the pure elements = 0.279 eV per atom; space group = I4/mmm (139); ρ = 8.9 g/cm³; DOS at the Fermi energy = 0.813 states/eV per atom
1.0
-1.765 1.765 4.159
1.765 -1.765 4.159
1.765 1.765 -4.159
Cr In Ni
2 1 1
Direct
0.250 0.750 0.500
0.750 0.250 0.500
0.000 0.000 0.000
0.500 0.500 0.000

=====

No. 12
Ba2PtS (PBEsol, optimized geometry); space group = I-42d (122); ρ = 4.9 g/cm³; energy relative to the elements, uncorrected = -0.95 eV/atom; DOS at the Fermi energy = 0.000 states/eV per atom
1.0
-3.494 3.494 6.896
3.494 -3.494 6.896
3.494 3.494 -6.896
Ba Pt S
4 2 2
Direct
0.125 0.625 0.000
0.375 0.375 0.500
0.625 0.125 0.000
0.875 0.875 0.500
0.000 0.000 0.000
0.750 0.250 0.500
0.250 0.750 0.500
0.500 0.500 0.000

=====

No. 13
AlPtPb2 (PBEsol, optimized geometry); energy of formation from the pure elements = -0.044 eV per atom; space group = Imm2 (44); ρ = 11.8 g/cm³; DOS at the Fermi energy = 0.488 states/eV per atom
1.0
-1.593 2.635 5.320
1.593 -2.635 5.320
1.593 2.635 -5.320
Al Pt Pb
1 1 2
Direct
0.000 0.000 0.000
0.824 0.324 0.500
0.276 0.776 0.500
0.578 0.578 0.000

=====

No. 14
CaAlAu2 (PBEsol, optimized geometry); energy of formation from the pure elements = -0.378 eV per atom; space group = F-43m (216); ρ = 10.1 g/cm³; DOS at the Fermi energy = 0.411 states/eV per atom
1.0
0.000 3.354 3.354
3.354 0.000 3.354
3.354 3.354 0.000
Ca Al Au
1 1 2
Direct
0.000 0.000 0.000
0.750 0.750 0.750
0.250 0.250 0.250
0.500 0.500 0.500

=====

No. 15
MgRe2Te (PBEsol, optimized geometry); space group = Cm (8); ρ = 13.0 g/cm³; energy relative to the elements, uncorrected = 0.55 eV/atom; DOS at the Fermi energy = 0.453 states/eV per atom
1.0
4.734 -1.577 0.000
4.734 1.577 0.000
-1.672 0.000 4.484
Mg Re Te
1 2 1
Direct
0.000 0.000 0.000
0.249 0.249 0.858
0.528 0.528 0.516
0.775 0.775 0.331

=====

No. 16
AsPW2 (PBEsol, optimized geometry); energy of formation from the pure elements = 0.001 eV per atom; space group = Pm (6); ρ = 13.3 g/cm³; DOS at the Fermi energy = 0.825 states/eV per atom
1.0
3.021 0.000 0.000
0.000 4.546 0.000
-0.036 0.000 4.302
As P W
1 1 2
Direct
0.000 0.000 0.000
0.497 0.500 0.246
0.002 0.500 0.727
0.501 0.000 0.499

=====

No. 17
TmPS (PBEsol, optimized geometry); space group = Pnma (62); ρ = 7.1 g/cm³; energy relative to the elements, uncorrected = -1.58 eV/atom; DOS at the Fermi energy = 0.051 states/eV per atom
1.0
6.800 0.000 0.000
0.000 3.574 0.000
0.000 0.000 8.964
Tm P S
4 4 4
Direct
0.209 0.250 0.161
0.291 0.750 0.661
0.709 0.250 0.339
0.791 0.750 0.839
0.093 0.250 0.461
0.407 0.750 0.961
0.593 0.250 0.039
0.907 0.750 0.539
0.091 0.250 0.847
0.409 0.750 0.347
0.591 0.250 0.653
0.909 0.750 0.153

=====

No. 18
Na2TiCu2 (PBEsol, optimized geometry); energy of formation from the pure elements = 0.561 eV per atom; space group = I4/mmm (139); ρ = 4.3 g/cm³; DOS at the Fermi energy = 0.852 states/eV per atom
1.0
-1.774 1.774 6.793
1.774 -1.774 6.793
1.774 1.774 -6.793
Na Ti Cu
2 1 2
Direct
0.250 0.750 0.500
0.750 0.250 0.500
0.000 0.000 0.000
0.416 0.416 0.000
0.584 0.584 0.000

=====

No. 19
Tl2Sb (PBEsol, optimized geometry); space group = I4/mmm (139); ρ = 10.2 g/cm³; energy relative to the elements, uncorrected = 0.01 eV/atom; DOS at the Fermi energy = 0.355 states/eV per atom
1.0
-1.651 1.651 7.881
1.651 -1.651 7.881
1.651 1.651 -7.881
Tl Sb
2 1
Direct
0.159 0.159 0.000
0.841 0.841 0.000
0.500 0.500 0.000

=====

No. 20
Zr2TaRu (PBEsol, optimized geometry); energy of formation from the pure elements = -0.221 eV per atom; space group = P4mm (99); ρ = 10.5 g/cm³; DOS at the Fermi energy = 0.905 states/eV per atom
1.0
3.176 0.000 0.000
0.000 3.176 0.000
0.000 0.000 7.288
Zr Ta Ru
2 1 1
Direct
0.000 0.000 0.000
0.500 0.500 0.292
0.500 0.500 0.731
0.000 0.000 0.527